Record 1
! meta-GGA SCAN EuSb2, single point on PBEsol structure; values from VASP
&SYSTEM
  ibrav = 0, nat = 6, ntyp = 2
/
ATOMIC_SPECIES
Eu 151.96 Eu.upf
Sb 121.76 Sb.upf
ATOMIC_POSITIONS crystal
Eu 0.2500 0.6025 0.7053
Eu 0.7500 0.3975 0.2947
Sb 0.2500 0.9376 0.3751
Sb 0.7500 0.0624 0.6249
Sb 0.7500 0.7531 0.0056
Sb 0.2500 0.2469 0.9944
CELL_PARAMETERS angstrom
-1.3746 -3.2266 -2.5409
1.8825 -3.0262 2.8245
-8.0192 1.1323 2.9004
! Raw formation energy = -0.797 eV per atom
! Volume = 163.4 Å³/cell
! Symmetry = Cmcm, No. 63
! Magnetic moment = 13.79 μB per cell

=====

Record 2
! meta-GGA SCAN EuSc2Se4, single point on PBEsol structure; values from VASP
&SYSTEM
  ibrav = 0, nat = 28, ntyp = 3
/
ATOMIC_SPECIES
Eu 151.96 Eu.upf
Sc 44.96 Sc.upf
Se 78.96 Se.upf
ATOMIC_POSITIONS crystal
Eu 0.7500 0.2616 0.1696
Eu 0.2500 0.2384 0.6696
Eu 0.7500 0.7616 0.3304
Eu 0.2500 0.7384 0.8304
Sc 0.7500 0.4173 0.9046
Sc 0.7500 0.4423 0.3896
Sc 0.2500 0.0827 0.4046
Sc 0.2500 0.5577 0.6104
Sc 0.2500 0.0577 0.8896
Sc 0.7500 0.9423 0.1104
Sc 0.2500 0.5827 0.0954
Sc 0.7500 0.9173 0.5954
Se 0.7500 0.6287 0.9685
Se 0.7500 0.7038 0.6653
Se 0.7500 0.5291 0.2151
Se 0.2500 0.0934 0.0763
Se 0.7500 0.0291 0.2849
Se 0.7500 0.4066 0.5763
Se 0.2500 0.2962 0.3347
Se 0.2500 0.4709 0.7849
Se 0.7500 0.9066 0.9237
Se 0.2500 0.7962 0.1653
Se 0.7500 0.2038 0.8347
Se 0.7500 0.1287 0.5315
Se 0.2500 0.8713 0.4685
Se 0.2500 0.9709 0.7151
Se 0.2500 0.3713 0.0315
Se 0.2500 0.5934 0.4237
CELL_PARAMETERS angstrom
3.8822 0.0000 0.0000
0.0000 11.9261 0.0000
0.0000 0.0000 14.0551
! Raw formation energy = -2.051 eV per atom
! Volume = 650.8 Å³/cell
! Symmetry = Pnma, No. 62
! Magnetic moment = 28.00 μB per cell

=====

Record 3
! meta-GGA SCAN Sm2EuSe4, single point on PBEsol structure; values from VASP
&SYSTEM
  ibrav = 0, nat = 14, ntyp = 3
/
ATOMIC_SPECIES
Sm 150.36 Sm.upf
Eu 151.96 Eu.upf
Se 78.96 Se.upf
ATOMIC_POSITIONS crystal
Sm 0.2517 0.8750 0.8767
Sm 0.6250 0.7483 0.6233
Sm 0.9983 0.3750 0.1233
Sm 0.1250 0.0017 0.3767
Eu 0.5000 0.5000 0.0000
Eu 0.7500 0.2500 0.5000
Se 0.7266 0.9762 0.0960
Se 0.5234 0.1193 0.7496
Se 0.3693 0.2734 0.2496
Se 0.8807 0.6303 0.4040
Se 0.3697 0.7738 0.2504
Se 0.0238 0.1197 0.7504
Se 0.8803 0.6307 0.9040
Se 0.2262 0.4766 0.5960
CELL_PARAMETERS angstrom
7.5857 0.0052 0.0000
-2.5578 7.1415 0.0000
-2.5139 -3.5733 6.2011
! Raw formation energy = -2.168 eV per atom
! Volume = 336.0 Å³/cell
! Symmetry = I-42d, No. 122
! Magnetic moment = 14.00 μB per cell

=====

Record 4
! meta-GGA SCAN SmEuSe2, single point on PBEsol structure; values from VASP
&SYSTEM
  ibrav = 0, nat = 4, ntyp = 3
/
ATOMIC_SPECIES
Eu 151.96 Eu.upf
Sm 150.36 Sm.upf
Se 78.96 Se.upf
ATOMIC_POSITIONS crystal
Eu 0.0000 0.0000 0.0000
Sm 0.5000 0.5000 0.5000
Se 0.7515 0.7515 0.7455
Se 0.2485 0.2485 0.2545
CELL_PARAMETERS angstrom
-2.6813 -1.6364 -2.7038
0.9672 -3.4828 -2.0278
-3.3732 -5.4059 3.4404
! Raw formation energy = -2.149 eV per atom
! Volume = 101.7 Å³/cell
! Symmetry = R-3m, No. 166
! Magnetic moment = 6.99 μB per cell

=====

Record 5
! meta-GGA SCAN SrEu4Se5, single point on PBEsol structure; values from VASP
&SYSTEM
  ibrav = 0, nat = 10, ntyp = 3
/
ATOMIC_SPECIES
Sr 87.62 Sr.upf
Eu 151.96 Eu.upf
Se 78.96 Se.upf
ATOMIC_POSITIONS crystal
Sr 0.0000 0.0000 0.0000
Eu 0.4010 0.7980 0.4000
Eu 0.7992 0.6035 0.7981
Eu 0.2008 0.3965 0.2019
Eu 0.5990 0.2020 0.6000
Se 0.7984 0.0988 0.3044
Se 0.2016 0.9012 0.6956
Se 0.6031 0.6911 0.1026
Se 0.0000 0.5000 0.5000
Se 0.3969 0.3089 0.8974
CELL_PARAMETERS angstrom
-2.6667 -3.3251 -0.0021
-0.1538 -2.6130 6.9067
-7.9415 3.6346 3.8289
! Raw formation energy = -2.272 eV per atom
! Volume = 274.1 Å³/cell
! Symmetry = C2/m, No. 12
! Magnetic moment = 28.00 μB per cell

=====

Record 6
! meta-GGA SCAN Tb2EuSe4, single point on PBEsol structure; values from VASP
&SYSTEM
  ibrav = 0, nat = 28, ntyp = 3
/
ATOMIC_SPECIES
Tb 158.93 Tb.upf
Eu 151.96 Eu.upf
Se 78.96 Se.upf
ATOMIC_POSITIONS crystal
Tb 0.2500 0.3939 0.5995
Tb 0.2500 0.4377 0.1045
Tb 0.7500 0.5623 0.8955
Tb 0.2500 0.8939 0.9005
Tb 0.7500 0.6061 0.4005
Tb 0.7500 0.0623 0.6045
Tb 0.2500 0.9377 0.3955
Tb 0.7500 0.1061 0.0995
Eu 0.7500 0.2627 0.3402
Eu 0.7500 0.7627 0.1598
Eu 0.2500 0.7373 0.6598
Eu 0.2500 0.2373 0.8402
Se 0.2500 0.9939 0.7175
Se 0.2500 0.4341 0.4111
Se 0.7500 0.2721 0.6923
Se 0.2500 0.2279 0.1923
Se 0.7500 0.7721 0.8077
Se 0.7500 0.5659 0.5889
Se 0.7500 0.3428 0.9864
Se 0.7500 0.0061 0.2825
Se 0.2500 0.7279 0.3077
Se 0.7500 0.8428 0.5136
Se 0.2500 0.1572 0.4864
Se 0.7500 0.0659 0.9111
Se 0.2500 0.4939 0.7825
Se 0.2500 0.9341 0.0889
Se 0.7500 0.5061 0.2175
Se 0.2500 0.6572 0.0136
CELL_PARAMETERS angstrom
4.1120 0.0000 0.0000
0.0000 11.6669 0.0000
0.0000 0.0000 14.7960
! Raw formation energy = -2.160 eV per atom
! Volume = 709.8 Å³/cell
! Symmetry = Pnma, No. 62
! Magnetic moment = 27.98 μB per cell

=====

Record 7
! meta-GGA SCAN EuZrSe3, single point on PBEsol structure; values from VASP
&SYSTEM
  ibrav = 0, nat = 20, ntyp = 3
/
ATOMIC_SPECIES
Eu 151.96 Eu.upf
Zr 91.22 Zr.upf
Se 78.96 Se.upf
ATOMIC_POSITIONS crystal
Eu 0.7500 0.0615 0.1770
Eu 0.7500 0.5615 0.3230
Eu 0.2500 0.9385 0.8230
Eu 0.2500 0.4385 0.6770
Zr 0.7500 0.3303 0.9453
Zr 0.7500 0.8303 0.5547
Zr 0.2500 0.6697 0.0547
Zr 0.2500 0.1697 0.4453
Se 0.7500 0.4770 0.1133
Se 0.7500 0.9770 0.3867
Se 0.2500 0.5230 0.8867
Se 0.2500 0.0230 0.6133
Se 0.7500 0.3471 0.5169
Se 0.7500 0.8471 0.9831
Se 0.2500 0.6529 0.4831
Se 0.2500 0.1529 0.0169
Se 0.7500 0.2044 0.7774
Se 0.7500 0.7044 0.7226
Se 0.2500 0.7956 0.2226
Se 0.2500 0.2956 0.2774
CELL_PARAMETERS angstrom
-0.4810 -1.2069 -3.6701
-7.4932 -3.7630 2.2194
-6.8617 11.8881 -3.0101
! Raw formation energy = -1.806 eV per atom
! Volume = 474.5 Å³/cell
! Symmetry = Pnma, No. 62
! Magnetic moment = 27.65 μB per cell

=====

Record 8
! meta-GGA SCAN EuSi, single point on PBEsol structure; values from VASP
&SYSTEM
  ibrav = 0, nat = 4, ntyp = 2
/
ATOMIC_SPECIES
Eu 151.96 Eu.upf
Si 28.09 Si.upf
ATOMIC_POSITIONS crystal
Eu 0.2500 0.8579 0.7158
Eu 0.7500 0.1421 0.2842
Si 0.2500 0.5666 0.1331
Si 0.7500 0.4334 0.8669
CELL_PARAMETERS angstrom
-2.6874 -1.2669 2.5259
0.2160 -4.0775 -1.8153
3.8355 0.6826 4.4231
! Raw formation energy = -0.645 eV per atom
! Volume = 95.0 Å³/cell
! Symmetry = Cmcm, No. 63
! Magnetic moment = 14.40 μB per cell

=====

Record 9
! meta-GGA SCAN SrEuSi4, single point on PBEsol structure; values from VASP
&SYSTEM
  ibrav = 0, nat = 6, ntyp = 3
/
ATOMIC_SPECIES
Eu 151.96 Eu.upf
Sr 87.62 Sr.upf
Si 28.09 Si.upf
ATOMIC_POSITIONS crystal
Eu 0.7500 0.2500 0.5000
Sr 0.0000 0.0000 0.0000
Si 0.3333 0.8333 0.6665
Si 0.4142 0.4142 0.8284
Si 0.1667 0.6667 0.3335
Si 0.5858 0.5858 0.1716
CELL_PARAMETERS angstrom
-2.1183 3.7083 -0.2583
-3.6378 -2.0069 1.0217
4.1001 0.3092 6.2479
! Raw formation energy = -0.432 eV per atom
! Volume = 125.2 Å³/cell
! Symmetry = I-4m2, No. 119
! Magnetic moment = 6.90 μB per cell

=====

Record 10
! meta-GGA SCAN EuZn2Si2, single point on PBEsol structure; values from VASP
&SYSTEM
  ibrav = 0, nat = 5, ntyp = 3
/
ATOMIC_SPECIES
Eu 151.96 Eu.upf
Zn 65.41 Zn.upf
Si 28.09 Si.upf
ATOMIC_POSITIONS crystal
Eu 0.0000 0.0000 0.0000
Zn 0.7500 0.2500 0.5000
Zn 0.2500 0.7500 0.5000
Si 0.3843 0.3843 0.7686
Si 0.6157 0.6157 0.2314
CELL_PARAMETERS angstrom
4.1641 0.0000 0.0000
0.0000 4.1641 0.0000
-2.0820 -2.0820 5.0641
! Raw formation energy = -0.382 eV per atom
! Volume = 87.8 Å³/cell
! Symmetry = I4/mmm, No. 139
! Magnetic moment = 6.98 μB per cell

=====

Record 11
! meta-GGA SCAN EuSn, single point on PBEsol structure; values from VASP
&SYSTEM
  ibrav = 0, nat = 4, ntyp = 2
/
ATOMIC_SPECIES
Eu 151.96 Eu.upf
Sn 118.71 Sn.upf
ATOMIC_POSITIONS crystal
Eu 0.7500 0.8641 0.2717
Eu 0.2500 0.1359 0.7283
Sn 0.2500 0.4172 0.1655
Sn 0.7500 0.5828 0.8345
CELL_PARAMETERS angstrom
-2.1877 -0.1426 -3.7753
4.1125 -0.5828 -2.3611
1.5364 -6.0630 -0.6613
! E_form = -0.817 eV per atom
! Volume = 121.4 Å³/cell
! Symmetry = Cmcm, No. 63
! Magnetic moment = 14.40 μB per cell

=====

Record 12
! meta-GGA SCAN EuZn2Sn2, single point on PBEsol structure; values from VASP
&SYSTEM
  ibrav = 0, nat = 10, ntyp = 3
/
ATOMIC_SPECIES
Eu 151.96 Eu.upf
Zn 65.41 Zn.upf
Sn 118.71 Sn.upf
ATOMIC_POSITIONS crystal
Eu 0.0000 0.5000 0.2445
Eu 0.5000 0.0000 0.7555
Zn 0.5000 0.5000 0.0000
Zn 0.0000 0.0000 0.0000
Zn 0.5000 0.0000 0.3626
Zn 0.0000 0.5000 0.6374
Sn 0.0000 0.0000 0.5000
Sn 0.5000 0.5000 0.5000
Sn 0.5000 0.0000 0.1326
Sn 0.0000 0.5000 0.8674
CELL_PARAMETERS angstrom
4.5400 0.0000 0.0000
0.0000 4.5400 0.0000
0.0000 0.0000 11.0443
! E_form = -0.425 eV per atom
! Volume = 227.6 Å³/cell
! Symmetry = P4/nmm, No. 129
! Magnetic moment = 14.04 μB per cell

=====

Record 13
! meta-GGA SCAN EuZnSn, single point on PBEsol structure; values from VASP
&SYSTEM
  ibrav = 0, nat = 6, ntyp = 3
/
ATOMIC_SPECIES
Eu 151.96 Eu.upf
Zn 65.41 Zn.upf
Sn 118.71 Sn.upf
ATOMIC_POSITIONS crystal
Eu 0.4563 0.7942 0.2932
Eu 0.5437 0.2058 0.7068
Zn 0.1490 0.7969 0.9051
Zn 0.8510 0.2031 0.0949
Sn 0.8276 0.6164 0.7285
Sn 0.1724 0.3836 0.2715
CELL_PARAMETERS angstrom
-1.9271 -2.6796 3.2594
3.6834 -1.0843 4.5872
-2.4765 3.2078 4.4739
! E_form = -0.586 eV per atom
! Volume = 142.1 Å³/cell
! Symmetry = C2/m, No. 12
! Magnetic moment = 14.39 μB per cell

=====

Record 14
! meta-GGA SCAN Eu2ZnSn, single point on PBEsol structure; values from VASP
&SYSTEM
  ibrav = 0, nat = 4, ntyp = 3
/
ATOMIC_SPECIES
Eu 151.96 Eu.upf
Zn 65.41 Zn.upf
Sn 118.71 Sn.upf
ATOMIC_POSITIONS crystal
Eu 0.2500 0.2500 0.2500
Eu 0.7500 0.7500 0.7500
Zn 0.0000 0.0000 0.0000
Sn 0.5000 0.5000 0.5000
CELL_PARAMETERS angstrom
-4.6476 -1.6285 2.0533
-0.0544 -3.2746 4.2121
-1.5913 1.8051 4.7621
! E_form = -0.578 eV per atom
! Volume = 107.4 Å³/cell
! Symmetry = Fm-3m, No. 225
! Magnetic moment = 14.13 μB per cell

=====

Record 15
! meta-GGA SCAN SrEu3, single point on PBEsol structure; values from VASP
&SYSTEM
  ibrav = 0, nat = 8, ntyp = 2
/
ATOMIC_SPECIES
Sr 87.62 Sr.upf
Eu 151.96 Eu.upf
ATOMIC_POSITIONS crystal
Sr 0.7500 0.3333 0.6667
Sr 0.2500 0.6667 0.3333
Eu 0.2500 0.6739 0.8369
Eu 0.2500 0.1631 0.3261
Eu 0.2500 0.1631 0.8369
Eu 0.7500 0.3261 0.1631
Eu 0.7500 0.8369 0.6739
Eu 0.7500 0.8369 0.1631
CELL_PARAMETERS angstrom
-0.5250 5.2585 -3.4400
-7.1401 1.2079 2.9362
6.2613 2.9811 3.6014
! E_form = 0.060 eV per atom
! Volume = 333.4 Å³/cell
! Symmetry = P6_3/mmc, No. 194
! Magnetic moment = 49.26 μB per cell

=====

Record 16
! meta-GGA SCAN SrEu3, single point on PBEsol structure; values from VASP
&SYSTEM
  ibrav = 0, nat = 4, ntyp = 2
/
ATOMIC_SPECIES
Sr 87.62 Sr.upf
Eu 151.96 Eu.upf
ATOMIC_POSITIONS crystal
Sr 0.0000 0.0000 0.0000
Eu 0.0000 0.5000 0.5000
Eu 0.5000 0.0000 0.5000
Eu 0.5000 0.5000 0.0000
CELL_PARAMETERS angstrom
-2.8191 1.8410 4.3347
-4.6657 -1.7788 -2.2790
0.6404 -4.8552 2.4785
! E_form = 0.068 eV per atom
! Volume = 165.4 Å³/cell
! Symmetry = Pm-3m, No. 221
! Magnetic moment = 24.16 μB per cell

=====

Record 17
! meta-GGA SCAN SrEu3, single point on PBEsol structure; values from VASP
&SYSTEM
  ibrav = 0, nat = 4, ntyp = 2
/
ATOMIC_SPECIES
Sr 87.62 Sr.upf
Eu 151.96 Eu.upf
ATOMIC_POSITIONS crystal
Sr 0.0000 0.0000 0.0000
Eu 0.2500 0.2500 0.2500
Eu 0.7500 0.7500 0.7500
Eu 0.5000 0.5000 0.5000
CELL_PARAMETERS angstrom
-3.4108 3.7635 -3.5208
-5.9601 -1.2791 -1.0174
-4.3948 3.5000 2.5748
! E_form = 0.079 eV per atom
! Volume = 166.9 Å³/cell
! Symmetry = Fm-3m, No. 225
! Magnetic moment = 22.53 μB per cell

=====

Record 18
! meta-GGA SCAN SrEu3, single point on PBEsol structure; values from VASP
&SYSTEM
  ibrav = 0, nat = 4, ntyp = 2
/
ATOMIC_SPECIES
Eu 151.96 Eu.upf
Sr 87.62 Sr.upf
ATOMIC_POSITIONS crystal
Eu 0.5000 0.5000 0.0000
Eu 0.2500 0.7500 0.5000
Eu 0.7500 0.2500 0.5000
Sr 0.0000 0.0000 0.0000
CELL_PARAMETERS angstrom
5.4876 0.0000 0.0000
0.0000 5.4876 0.0000
-2.7438 -2.7438 5.4943
! E_form = 0.078 eV per atom
! Volume = 165.5 Å³/cell
! Symmetry = I4/mmm, No. 139
! Magnetic moment = 23.90 μB per cell

=====

Record 19
! meta-GGA SCAN EuTl2, single point on PBEsol structure; values from VASP
&SYSTEM
  ibrav = 0, nat = 6, ntyp = 2
/
ATOMIC_SPECIES
Eu 151.96 Eu.upf
Tl 204.38 Tl.upf
ATOMIC_POSITIONS crystal
Eu 0.0000 0.0000 0.2500
Eu 0.0000 0.0000 0.7500
Tl 0.3333 0.6667 0.0456
Tl 0.6667 0.3333 0.5456
Tl 0.6667 0.3333 0.9544
Tl 0.3333 0.6667 0.4544
CELL_PARAMETERS angstrom
-4.6110 0.7059 -1.8627
3.5465 -2.1604 -2.8257
-2.1454 -6.9991 2.6585
! E_form = -0.503 eV per atom
! Volume = 170.2 Å³/cell
! Symmetry = P6_3/mmc, No. 194
! Magnetic moment = 14.15 μB per cell

=====

Record 20
! meta-GGA SCAN EuTl2, single point on PBEsol structure; values from VASP
&SYSTEM
  ibrav = 0, nat = 6, ntyp = 2
/
ATOMIC_SPECIES
Eu 151.96 Eu.upf
Tl 204.38 Tl.upf
ATOMIC_POSITIONS crystal
Eu 0.0000 0.3413 0.3174
Eu 0.0000 0.6587 0.6826
Tl 0.5000 0.8317 0.3367
Tl 0.5000 0.1683 0.6633
Tl 0.5000 0.5000 0.0000
Tl 0.0000 0.0000 0.0000
CELL_PARAMETERS angstrom
4.6609 0.0000 0.0000
0.0000 4.8214 0.0000
0.0000 2.4107 7.3633
! E_form = -0.419 eV per atom
! Volume = 165.5 Å³/cell
! Symmetry = Cmmm, No. 65
! Magnetic moment = 14.93 μB per cell

=====

Record 21
! meta-GGA SCAN EuTl, single point on PBEsol structure; values from VASP
&SYSTEM
  ibrav = 0, nat = 2, ntyp = 2
/
ATOMIC_SPECIES
Eu 151.96 Eu.upf
Tl 204.38 Tl.upf
ATOMIC_POSITIONS crystal
Eu 0.0000 0.0000 0.0000
Tl 0.5000 0.5000 0.5000
CELL_PARAMETERS angstrom
3.8832 0.0000 0.0000
0.0000 3.8832 0.0000
0.0000 0.0000 3.8832
! E_form = -0.619 eV per atom
! Volume = 58.6 Å³/cell
! Symmetry = Pm-3m, No. 221
! Magnetic moment = 7.19 μB per cell

=====

Record 22
! meta-GGA SCAN Eu3Tl, single point on PBEsol structure; values from VASP
&SYSTEM
  ibrav = 0, nat = 8, ntyp = 2
/
ATOMIC_SPECIES
Eu 151.96 Eu.upf
Tl 204.38 Tl.upf
ATOMIC_POSITIONS crystal
Eu 0.2500 0.6515 0.8258
Eu 0.2500 0.1742 0.3485
Eu 0.2500 0.1742 0.8258
Eu 0.7500 0.3485 0.1742
Eu 0.7500 0.8258 0.6515
Eu 0.7500 0.8258 0.1742
Tl 0.7500 0.3333 0.6667
Tl 0.2500 0.6667 0.3333
CELL_PARAMETERS angstrom
-5.5376 -0.1866 0.8812
0.4960 -6.9133 1.6529
0.6448 4.9370 5.0972
! E_form = -0.354 eV per atom
! Volume = 246.7 Å³/cell
! Symmetry = P6_3/mmc, No. 194
! Magnetic moment = 44.88 μB per cell

=====

Record 23
! meta-GGA SCAN EuTl3, single point on PBEsol structure; values from VASP
&SYSTEM
  ibrav = 0, nat = 8, ntyp = 2
/
ATOMIC_SPECIES
Eu 151.96 Eu.upf
Tl 204.38 Tl.upf
ATOMIC_POSITIONS crystal
Eu 0.2500 0.3333 0.6667
Eu 0.7500 0.6667 0.3333
Tl 0.2500 0.8370 0.1630
Tl 0.2500 0.3261 0.1630
Tl 0.2500 0.8370 0.6739
Tl 0.7500 0.1630 0.8370
Tl 0.7500 0.6739 0.8370
Tl 0.7500 0.1630 0.3261
CELL_PARAMETERS angstrom
-0.7396 -5.2608 0.0984
5.4662 -0.6929 4.0407
-6.1866 0.9212 2.7502
! E_form = -0.370 eV per atom
! Volume = 214.8 Å³/cell
! Symmetry = P6_3/mmc, No. 194
! Magnetic moment = 14.38 μB per cell

=====

Record 24
! meta-GGA SCAN EuTl3, single point on PBEsol structure; values from VASP
&SYSTEM
  ibrav = 0, nat = 4, ntyp = 2
/
ATOMIC_SPECIES
Eu 151.96 Eu.upf
Tl 204.38 Tl.upf
ATOMIC_POSITIONS crystal
Eu 0.0000 0.0000 0.0000
Tl 0.5000 0.5000 0.0000
Tl 0.5000 0.0000 0.5000
Tl 0.0000 0.5000 0.5000
CELL_PARAMETERS angstrom
4.7483 0.0000 0.0000
0.0000 4.7483 0.0000
0.0000 0.0000 4.7483
! E_form = -0.375 eV per atom
! Volume = 107.1 Å³/cell
! Symmetry = Pm-3m, No. 221
! Magnetic moment = 7.24 μB per cell